Entry 1:
GGA-PBE Tb4Cu3Ni, relaxed; SG = No. 25; D(E_F) = 4.908 states/eV/f.u.; ΔH_f (0 K) = -302 meV per atom
1.0
3.7672 0.0000 0.0000
0.0000 4.4285 0.0000
0.0000 0.0000 10.2780
Tb Cu Ni
4 3 1
Direct
0.0000 0.0000 0.0000
0.0000 0.5000 0.2713
0.5000 0.0000 0.4866
0.5000 0.5000 0.7748
0.0000 0.0000 0.7033
0.0000 0.5000 0.5616
0.5000 0.5000 0.0628
0.5000 0.0000 0.2057

=====

Entry 2:
GGA-PBE CeInAu4, relaxed; SG = No. 216; D(E_F) = 7.343 states/eV/f.u.; ΔH_f (0 K) = -399 meV per atom; E above lowest polymorph = 0 meV per atom
1.0
0.0000 4.0121 4.0121
4.0121 0.0000 4.0121
4.0121 4.0121 0.0000
Ce In Au
1 1 4
Direct
0.0000 0.0000 0.0000
0.7500 0.7500 0.7500
0.3753 0.3753 0.3753
0.3753 0.3753 0.8741
0.3753 0.8741 0.3753
0.8741 0.3753 0.3753